(1)
The following is a PBE calculation of a geometry-optimized NaCd3Hg structure, from the Alexandria database.

- calculated formation energy (kJ per mole of atoms) = -8.1
- total DFT energy (no corrections) (eV/cell) = -9.57
- E above lowest polymorph (meV per atom) = 0.0

a b c (Å): 4.659 4.514 11.517
angles (deg): 90.00 78.33 90.00
Element x y z (fractional)
Hg1 0.974 0.250 0.701
Cd1 0.775 0.250 0.098
Na1 0.175 0.250 0.298
Cd2 0.371 0.250 0.906
Cd3 0.575 0.250 0.498
Cd4 0.073 0.750 0.502
Na2 0.473 0.750 0.702
Cd5 0.277 0.750 0.094
Hg2 0.675 0.750 0.299
Cd6 0.873 0.750 0.902

(2)
The following is a PBE calculation of a geometry-optimized Na12CdHg6 structure, from the Alexandria database.

- calculated formation energy (kJ per mole of atoms) = -15.9
- total DFT energy (no corrections) (eV/cell) = -21.69
- E above lowest polymorph (meV per atom) = 0.0

a b c (Å): 8.113 8.113 8.113
angles (deg): 88.26 88.26 88.26
Element x y z (fractional)
Na1 0.427 0.806 0.531
Hg1 0.272 0.114 0.737
Na2 0.194 0.469 0.573
Na3 0.469 0.573 0.194
Na4 0.573 0.194 0.469
Na5 0.853 0.628 0.977
Na6 0.372 0.023 0.147
Na7 0.531 0.427 0.806
Hg2 0.886 0.263 0.728
Hg3 0.114 0.737 0.272
Na8 0.628 0.977 0.853
Hg4 0.737 0.272 0.114
Cd1 0.000 0.000 0.000
Na9 0.147 0.372 0.023
Hg5 0.263 0.728 0.886
Na10 0.806 0.531 0.427
Na11 0.023 0.147 0.372
Hg6 0.728 0.886 0.263
Na12 0.977 0.853 0.628

(3)
The following is a PBE calculation of a geometry-optimized NaCd2Hg structure, from the Alexandria database.

- calculated formation energy (kJ per mole of atoms) = -7.5
- total DFT energy (no corrections) (eV/cell) = -3.76

a b c (Å): 3.889 3.889 6.410
angles (deg): 90.00 90.00 90.00
Element x y z (fractional)
Hg1 0.500 0.500 0.000
Cd1 0.000 0.000 0.247
Na1 0.500 0.500 0.500
Cd2 0.000 0.000 0.753

(4)
The following is a PBE calculation of a geometry-optimized Na2Cd3Hg5 structure, from the Alexandria database.

- calculated formation energy (kJ per mole of atoms) = -10.5
- total DFT energy (no corrections) (eV/cell) = -15.96
- E above lowest polymorph (meV per atom) = 0.0

a b c (Å): 4.947 7.363 14.609
angles (deg): 90.00 99.75 90.00
Element x y z (fractional)
Cd1 0.215 0.216 0.429
Hg1 0.297 0.958 0.594
Hg2 0.885 0.760 0.770
Cd2 0.603 0.543 0.205
Na1 0.484 0.734 0.968
Hg3 0.286 0.498 0.572
Na2 0.825 0.235 0.649
Hg4 0.959 0.037 0.919
Cd3 0.397 0.043 0.795
Hg5 0.115 0.260 0.230
Hg6 0.714 0.998 0.428
Hg7 0.389 0.456 0.777
Hg8 0.611 0.956 0.223
Na3 0.516 0.234 0.032
Cd4 0.056 0.929 0.112
Na4 0.175 0.735 0.351
Hg9 0.703 0.458 0.406
Cd5 0.944 0.429 0.888
Hg10 0.041 0.537 0.081
Cd6 0.785 0.716 0.571

(5)
The following is a PBE calculation of a geometry-optimized Na14CdHg structure, from the Alexandria database.

- calculated formation energy (kJ per mole of atoms) = -3.5
- total DFT energy (no corrections) (eV/cell) = -20.26

a b c (Å): 7.100 7.100 10.487
angles (deg): 90.00 90.00 89.67
Element x y z (fractional)
Na1 0.126 0.624 0.274
Na2 0.375 0.875 0.500
Na3 0.625 0.625 0.274
Na4 0.624 0.126 0.274
Na5 0.625 0.625 0.726
Na6 0.875 0.875 0.000
Cd1 0.875 0.875 0.500
Na7 0.624 0.126 0.726
Na8 0.125 0.125 0.726
Na9 0.126 0.624 0.726
Na10 0.125 0.125 0.274
Na11 0.375 0.375 0.000
Hg1 0.375 0.375 0.500
Na12 0.875 0.375 0.500
Na13 0.875 0.375 0.000
Na14 0.375 0.875 0.000

(6)
The following is a PBE calculation of a geometry-optimized Na15Cd4Hg structure, from the Alexandria database.

- calculated formation energy (kJ per mole of atoms) = -6.0
- total DFT energy (no corrections) (eV/cell) = -25.00

a b c (Å): 5.037 5.037 23.473
angles (deg): 90.00 90.00 90.00
Element x y z (fractional)
Na1 0.000 0.500 0.300
Cd1 0.000 0.000 0.199
Na2 0.500 0.000 0.098
Hg1 0.000 0.000 0.000
Na3 0.000 0.500 0.700
Na4 0.500 0.500 0.400
Cd2 0.000 0.000 0.801
Na5 0.500 0.500 0.801
Cd3 0.000 0.000 0.600
Na6 0.000 0.500 0.500
Na7 0.500 0.000 0.500
Na8 0.500 0.000 0.700
Na9 0.500 0.500 0.199
Na10 0.500 0.500 0.000
Na11 0.000 0.500 0.098
Cd4 0.000 0.000 0.400
Na12 0.500 0.500 0.600
Na13 0.500 0.000 0.300
Na14 0.500 0.000 0.902
Na15 0.000 0.500 0.902